K4Ac3UTe8 | PBE | optimized geometry

The calculation puts the mass density at 5302 kg/m3. The calculation puts the formation energy (no corrections) at -1.3200 eV/atom.

It has space group R-3m (No. 166, hexagonal axes), with a = 9.5783 Å, b = 9.5783 Å, c = 24.7896 Å, α = 90.00°, β = 90.00° and γ = 120.00°. The distinct sites, in fractional coordinates, are K at (0.0000, 0.0000, 0.0000), K at (0.0000, 0.5000, 0.0000), Ac at (0.0000, 0.5000, 0.5000), U at (0.0000, 0.0000, 0.5000), Te at (0.0000, 0.0000, 0.2419) and Te at (0.0116, 0.5058, 0.2395).